# 1
VASP calculation (GGA-PBE) on crystalline Tc5N at its relaxed geometry.

Results
The total energy comes out at -56.15 eV/cell. Its space group is Cmmm, No. 65. The formation energy without anion corrections comes out at 0.668 eV/atom.

a = 5.042 Å, b = 5.042 Å, c = 4.227 Å
α = 90.00°, β = 90.00°, γ = 131.16°
Fractional coordinates of all 6 atoms:
Tc1 0.000 0.000 0.000
Tc2 0.154 0.846 0.500
Tc3 0.345 0.655 0.000
Tc4 0.655 0.345 0.000
Tc5 0.846 0.154 0.500
N1 0.500 0.500 0.500

=====

# 2
VASP calculation (GGA-PBE) on crystalline BaCeInSbO6 at its relaxed geometry.

Results
The total energy comes out at -66.50 eV/cell. Its space group is F-43m, No. 216. The formation energy without anion corrections comes out at -2.203 eV/atom.

a = 6.050 Å, b = 6.050 Å, c = 6.050 Å
α = 60.00°, β = 60.00°, γ = 60.00°
Fractional coordinates of all 10 atoms:
Ba1 0.000 0.000 0.000
Ce1 0.750 0.750 0.750
In1 0.500 0.500 0.500
Sb1 0.250 0.250 0.250
O1 0.013 0.013 0.487
O2 0.013 0.487 0.013
O3 0.013 0.487 0.487
O4 0.487 0.013 0.013
O5 0.487 0.013 0.487
O6 0.487 0.487 0.013

=====

# 3
VASP calculation (GGA-PBE) on crystalline CaInRh2 at its relaxed geometry.

Results
The total energy comes out at -21.04 eV/cell. Its space group is Pmmm, No. 47. The value obtained for the formation energy is -0.399 eV per atom.

a = 3.319 Å, b = 3.345 Å, c = 6.667 Å
α = 90.00°, β = 90.00°, γ = 90.00°
Fractional coordinates of all 4 atoms:
Ca1 0.000 0.000 0.000
In1 0.000 0.000 0.500
Rh1 0.500 0.500 0.277
Rh2 0.500 0.500 0.723

=====

# 4
VASP calculation (GGA-PBE) on crystalline PaHgSbN at its relaxed geometry.

Results
The total energy comes out at -50.85 eV/cell. Its space group is P4/nmm, No. 129. The formation energy without anion corrections comes out at -0.795 eV/atom.

a = 4.063 Å, b = 4.063 Å, c = 10.945 Å
α = 90.00°, β = 90.00°, γ = 90.00°
Fractional coordinates of all 8 atoms:
Pa1 0.250 0.250 0.102
Pa2 0.750 0.750 0.898
Hg1 0.250 0.750 0.500
Hg2 0.750 0.250 0.500
Sb1 0.250 0.250 0.747
Sb2 0.750 0.750 0.253
N1 0.250 0.750 0.000
N2 0.750 0.250 0.000

=====

# 5
VASP calculation (GGA-PBE) on crystalline Nb3SbSe at its relaxed geometry.

Results
The total energy comes out at -35.28 eV/cell. Its space group is Pm-3m, No. 221. The formation energy without anion corrections comes out at 0.507 eV/atom.

a = 4.767 Å, b = 4.767 Å, c = 4.767 Å
α = 90.00°, β = 90.00°, γ = 90.00°
Fractional coordinates of all 5 atoms:
Nb1 0.000 0.000 0.500
Nb2 0.000 0.500 0.000
Nb3 0.500 0.000 0.000
Sb1 0.500 0.500 0.500
Se1 0.000 0.000 0.000

=====

# 6
VASP calculation (GGA-PBE) on crystalline Si2SnBiPt at its relaxed geometry.

Results
The total energy comes out at -19.98 eV/cell. Its space group is P4/mmm, No. 123. The formation energy without anion corrections comes out at 0.958 eV/atom.

a = 5.111 Å, b = 5.111 Å, c = 5.041 Å
α = 90.00°, β = 90.00°, γ = 90.00°
Fractional coordinates of all 5 atoms:
Si1 0.000 0.500 0.000
Si2 0.500 0.000 0.000
Sn1 0.000 0.000 0.000
Bi1 0.500 0.500 0.500
Pt1 0.000 0.000 0.500

=====

# 7
VASP calculation (GGA-PBE) on crystalline CdIn at its relaxed geometry.

Results
The total energy comes out at -7.17 eV/cell. Its space group is I4_1/amd, No. 141. The value obtained for the formation energy is 0.034 eV per atom.

a = 5.741 Å, b = 5.741 Å, c = 5.741 Å
α = 132.95°, β = 132.95°, γ = 68.73°
Fractional coordinates of all 4 atoms:
Cd1 0.375 0.625 0.750
Cd2 0.625 0.375 0.250
In1 0.125 0.875 0.250
In2 0.875 0.125 0.750

=====

# 8
VASP calculation (GGA-PBE) on crystalline NbTl2TcP at its relaxed geometry.

Results
The total energy comes out at -24.43 eV/cell. Its space group is P4/mmm, No. 123. The value obtained for the formation energy is 1.230 eV per atom.

a = 5.506 Å, b = 5.506 Å, c = 4.720 Å
α = 90.00°, β = 90.00°, γ = 90.00°
Fractional coordinates of all 5 atoms:
Nb1 0.000 0.000 0.000
Tl1 0.000 0.500 0.000
Tl2 0.500 0.000 0.000
Tc1 0.500 0.500 0.500
P1 0.000 0.000 0.500

=====

# 9
VASP calculation (GGA-PBE) on crystalline TiSnS2 at its relaxed geometry.

Results
The total energy comes out at -44.74 eV/cell. Its space group is I-42d, No. 122. The formation energy without anion corrections comes out at -0.554 eV/atom.

a = 6.926 Å, b = 6.926 Å, c = 6.926 Å
α = 125.78°, β = 125.78°, γ = 80.25°
Fractional coordinates of all 8 atoms:
Ti1 0.000 0.000 0.000
Ti2 0.750 0.250 0.500
Sn1 0.250 0.750 0.500
Sn2 0.500 0.500 0.000
S1 0.054 0.625 0.929
S2 0.375 0.304 0.429
S3 0.696 0.125 0.071
S4 0.875 0.946 0.571

=====

# 10
VASP calculation (GGA-PBE) on crystalline K2LiNiH4 at its relaxed geometry.

Results
The total energy comes out at -49.14 eV/cell. Its space group is Fddd, No. 70.

a = 11.455 Å, b = 10.184 Å, c = 6.246 Å
α = 84.82°, β = 62.30°, γ = 32.89°
Fractional coordinates of all 16 atoms:
K1 0.048 0.048 0.702
K2 0.298 0.298 0.952
K3 0.702 0.702 0.048
K4 0.952 0.952 0.298
Li1 0.125 0.125 0.125
Li2 0.875 0.875 0.875
Ni1 0.375 0.375 0.375
Ni2 0.625 0.625 0.625
H1 0.039 0.660 0.520
H2 0.281 0.520 0.660
H3 0.340 0.961 0.719
H4 0.480 0.719 0.961
H5 0.520 0.281 0.039
H6 0.660 0.039 0.281
H7 0.719 0.480 0.340
H8 0.961 0.340 0.480

=====

# 11
VASP calculation (GGA-PBE) on crystalline CrTcIr2 at its relaxed geometry.

Results
The total energy comes out at -38.18 eV/cell. Its space group is Cm, No. 8. The value obtained for the formation energy is -0.117 eV per atom.

a = 4.664 Å, b = 4.664 Å, c = 4.693 Å
α = 99.92°, β = 99.92°, γ = 33.71°
Fractional coordinates of all 4 atoms:
Cr1 0.000 0.000 0.000
Tc1 0.249 0.249 0.734
Ir1 0.498 0.498 0.499
Ir2 0.743 0.743 0.219

=====

# 12
VASP calculation (GGA-PBE) on crystalline K2LiBIr at its relaxed geometry.

Results
The total energy comes out at -17.25 eV/cell. Its space group is P4/mmm, No. 123. The value obtained for the formation energy is 0.480 eV per atom.

a = 5.936 Å, b = 5.936 Å, c = 4.039 Å
α = 90.00°, β = 90.00°, γ = 90.00°
Fractional coordinates of all 5 atoms:
K1 0.000 0.500 0.000
K2 0.500 0.000 0.000
Li1 0.000 0.000 0.500
B1 0.500 0.500 0.000
Ir1 0.500 0.500 0.500

=====

# 13
VASP calculation (GGA-PBE) on crystalline Pa6Tc3P at its relaxed geometry.

Results
The total energy comes out at -191.32 eV/cell. Its space group is P2_1/c, No. 14. The value obtained for the formation energy is -0.218 eV per atom.

a = 6.758 Å, b = 7.061 Å, c = 11.794 Å
α = 90.00°, β = 124.85°, γ = 90.00°
Fractional coordinates of all 20 atoms:
Pa1 0.049 0.037 0.252
Pa2 0.049 0.463 0.752
Pa3 0.244 0.667 0.089
Pa4 0.244 0.833 0.589
Pa5 0.423 0.147 0.061
Pa6 0.423 0.353 0.561
Pa7 0.577 0.647 0.439
Pa8 0.577 0.853 0.939
Pa9 0.756 0.167 0.411
Pa10 0.756 0.333 0.911
Pa11 0.951 0.537 0.248
Pa12 0.951 0.963 0.748
Tc1 0.000 0.000 0.000
Tc2 0.000 0.500 0.500
Tc3 0.236 0.169 0.708
Tc4 0.236 0.331 0.208
Tc5 0.764 0.669 0.792
Tc6 0.764 0.831 0.292
P1 0.500 0.000 0.500
P2 0.500 0.500 0.000

=====

# 14
VASP calculation (GGA-PBE) on crystalline AlReAg2 at its relaxed geometry.

Results
The total energy comes out at -20.67 eV/cell. Its space group is Pmmm, No. 47. The value obtained for the formation energy is 0.306 eV per atom.

a = 2.826 Å, b = 4.667 Å, c = 4.926 Å
α = 90.00°, β = 90.00°, γ = 90.00°
Fractional coordinates of all 4 atoms:
Al1 0.000 0.000 0.000
Re1 0.500 0.500 0.000
Ag1 0.000 0.500 0.500
Ag2 0.500 0.000 0.500

=====

# 15
VASP calculation (GGA-PBE) on crystalline Os2SI at its relaxed geometry.

Results
The total energy comes out at -50.18 eV/cell. Its space group is I-42d, No. 122. The formation energy without anion corrections comes out at 0.761 eV/atom.

a = 8.115 Å, b = 8.115 Å, c = 8.115 Å
α = 146.91°, β = 146.91°, γ = 47.50°
Fractional coordinates of all 8 atoms:
Os1 0.023 0.625 0.898
Os2 0.375 0.273 0.398
Os3 0.727 0.125 0.102
Os4 0.875 0.977 0.602
S1 0.000 0.000 0.000
S2 0.750 0.250 0.500
I1 0.250 0.750 0.500
I2 0.500 0.500 0.000

=====

# 16
VASP calculation (GGA-PBE) on crystalline BaCa2Os at its relaxed geometry.

Results
The total energy comes out at -15.56 eV/cell. Its space group is Cm, No. 8. The value obtained for the formation energy is 0.399 eV per atom.

a = 5.654 Å, b = 5.654 Å, c = 7.797 Å
α = 110.81°, β = 110.81°, γ = 39.95°
Fractional coordinates of all 4 atoms:
Ba1 0.000 0.000 0.000
Ca1 0.163 0.163 0.599
Ca2 0.357 0.357 0.331
Os1 0.639 0.639 0.318

=====

# 17
VASP calculation (GGA-PBE) on crystalline La2HgPd3 at its relaxed geometry.

Results
The total energy comes out at -121.06 eV/cell. Its space group is Pnma, No. 62. The value obtained for the formation energy is -0.755 eV per atom.

a = 7.636 Å, b = 4.001 Å, c = 18.062 Å
α = 90.00°, β = 90.00°, γ = 90.00°
Fractional coordinates of all 24 atoms:
La1 0.112 0.250 0.209
La2 0.161 0.250 0.429
La3 0.339 0.750 0.929
La4 0.388 0.750 0.709
La5 0.612 0.250 0.291
La6 0.661 0.250 0.071
La7 0.839 0.750 0.571
La8 0.888 0.750 0.791
Hg1 0.018 0.750 0.065
Hg2 0.482 0.250 0.565
Hg3 0.518 0.750 0.435
Hg4 0.982 0.250 0.935
Pd1 0.078 0.250 0.657
Pd2 0.203 0.250 0.808
Pd3 0.219 0.750 0.555
Pd4 0.281 0.250 0.055
Pd5 0.297 0.750 0.308
Pd6 0.422 0.750 0.157
Pd7 0.578 0.250 0.843
Pd8 0.703 0.250 0.692
Pd9 0.719 0.750 0.945
Pd10 0.781 0.250 0.445
Pd11 0.797 0.750 0.192
Pd12 0.922 0.750 0.343

=====

# 18
VASP calculation (GGA-PBE) on crystalline NdEr9Sc2 at its relaxed geometry.

Results
The total energy comes out at -58.10 eV/cell. Its space group is P6/mmm, No. 191. The value obtained for the formation energy is 0.033 eV per atom.

a = 10.984 Å, b = 10.984 Å, c = 3.454 Å
α = 90.00°, β = 90.00°, γ = 120.00°
Fractional coordinates of all 12 atoms:
Nd1 0.000 0.000 0.000
Er1 0.000 0.500 0.000
Er2 0.181 0.362 0.500
Er3 0.181 0.819 0.500
Er4 0.362 0.181 0.500
Er5 0.500 0.000 0.000
Er6 0.500 0.500 0.000
Er7 0.638 0.819 0.500
Er8 0.819 0.181 0.500
Er9 0.819 0.638 0.500
Sc1 0.333 0.667 0.000
Sc2 0.667 0.333 0.000

=====

# 19
VASP calculation (GGA-PBE) on crystalline CrOs7 at its relaxed geometry.

Results
The total energy comes out at -87.19 eV/cell. Its space group is Fm-3m, No. 225. The value obtained for the formation energy is 0.130 eV per atom.

a = 5.428 Å, b = 5.428 Å, c = 5.428 Å
α = 60.00°, β = 60.00°, γ = 60.00°
Fractional coordinates of all 8 atoms:
Cr1 0.000 0.000 0.000
Os1 0.000 0.000 0.500
Os2 0.000 0.500 0.000
Os3 0.000 0.500 0.500
Os4 0.500 0.000 0.000
Os5 0.500 0.000 0.500
Os6 0.500 0.500 0.000
Os7 0.500 0.500 0.500